# FeNiAs2O8, optimized geometry, DFT GGA+U
# * total energy: -5.7186 eV/atom
data_FeNiAs2O8
_space_group_name_H-M_alt 'I -4 m 2'
_space_group_IT_number 119
_space_group_name_Hall 'I -4 -2'
_cell_length_a 6.596
_cell_length_b 6.596
_cell_length_c 6.280
_cell_angle_alpha 90.00
_cell_angle_beta 90.00
_cell_angle_gamma 90.00
loop_
_atom_site_label
_atom_site_fract_x
_atom_site_fract_y
_atom_site_fract_z
_atom_site_occupancy
Fe1 0.000 0.000 0.000 1
Ni1 0.000 0.500 0.250 1
As1 0.000 0.000 0.500 1
As2 0.000 0.500 0.750 1
O1 0.000 0.189 0.309 1
O2 0.000 0.305 0.931 1